1.
Sr3YMn | GGA-PBE | relaxed

Cell lengths 6.460, 6.460, 6.460 Å; angles 90.00, 90.00, 90.00 degrees
Site moments in Bohr magnetons follow the coordinates.
Element x y z (fractional)
1 Sr 0.000 0.500 0.000  -0.12
2 Sr 0.000 0.000 0.500  -0.14
3 Sr 0.500 0.000 0.000  -0.08
4 Mn 0.500 0.500 0.500  4.49
5 Y 0.000 0.000 0.000  -0.74

Values from the calculation:
- Size of the total moment: 2.16 μB per cell
- DOS(E_F): 11.34 states/eV/f.u.
- Space group: Pm-3m
- ΔE_f: 1.203 eV per atom
- Crystal system: cubic
- Uncorrected energy: -2.93 eV/atom
- Excess energy over the best structure of this formula in the dataset: 0.3692 eV per atom

=====

2.
MnCdMo2 | GGA-PBE | relaxed

Cell lengths 3.815, 3.815, 4.423 Å; angles 90.00, 90.00, 90.00 degrees
Site moments in Bohr magnetons follow the coordinates.
Element x y z (fractional)
1 Mn 0.000 0.500 0.500  3.19
2 Cd 0.500 0.000 0.500  -0.01
3 Mo 0.000 0.000 0.000  -0.13
4 Mo 0.500 0.500 0.000  -0.13

Values from the calculation:
- Size of the total moment: 3.00 μB per cell
- DOS(E_F): 2.88 states/eV/f.u.
- Space group: P4/mmm
- ΔE_f: 0.386 eV per atom
- Crystal system: tetragonal
- Uncorrected energy: -7.55 eV/atom

=====

3.
BN | GGA-PBE | relaxed

Cell lengths 6.587, 6.587, 2.579 Å; angles 90.00, 90.00, 90.00 degrees
Element x y z (fractional)
1 B 0.208 0.374 0.000
2 B 0.126 0.708 0.500
3 B 0.792 0.626 0.000
4 B 0.374 0.792 0.000
5 B 0.626 0.208 0.000
6 B 0.292 0.126 0.500
7 B 0.708 0.874 0.500
8 B 0.874 0.292 0.500
9 N 0.717 0.106 0.500
10 N 0.283 0.894 0.500
11 N 0.783 0.394 0.000
12 N 0.606 0.783 0.000
13 N 0.106 0.283 0.500
14 N 0.894 0.717 0.500
15 N 0.217 0.606 0.000
16 N 0.394 0.217 0.000

Values from the calculation:
- Size of the total moment: 0.00 μB per cell
- DOS(E_F): 0.00 states/eV/f.u.
- Space group: I4/m
- Crystal system: tetragonal
- Uncorrected formation energy: -0.9250 eV per atom
- Uncorrected energy: -8.43 eV/atom
- Excess energy over the best structure of this formula in the dataset: 0.3613 eV per atom

=====

4.
Ta2As | GGA-PBE | relaxed

Cell lengths 3.483, 5.317, 6.325 Å; angles 90.00, 90.00, 90.00 degrees
Element x y z (fractional)
1 Ta 0.500 0.296 0.141
2 Ta 0.000 0.204 0.641
3 Ta 0.500 0.704 0.859
4 Ta 0.000 0.796 0.359
5 As 0.000 0.000 0.000
6 As 0.500 0.500 0.500

Values from the calculation:
- Size of the total moment: 0.00 μB per cell
- DOS(E_F): 1.77 states/eV/f.u.
- Space group: Pnnm
- ΔE_f: 0.261 eV per atom
- Crystal system: orthorhombic
- Uncorrected energy: -9.19 eV/atom

=====

5.
MgMoPd6 | GGA-PBE | relaxed

Cell lengths 3.944, 3.944, 7.927 Å; angles 90.00, 90.00, 90.00 degrees
Site moments in Bohr magnetons follow the coordinates.
Element x y z (fractional)
1 Pd 0.500 0.500 0.500  0.00
2 Pd 0.500 0.500 0.000  -0.01
3 Pd 0.000 0.500 0.741  0.01
4 Pd 0.000 0.500 0.259  0.01
5 Pd 0.500 0.000 0.741  0.01
6 Pd 0.500 0.000 0.259  0.01
7 Mo 0.000 0.000 0.500  0.35
8 Mg 0.000 0.000 0.000  0.00

Values from the calculation:
- Size of the total moment: 0.40 μB per cell
- DOS(E_F): 3.67 states/eV/f.u.
- Space group: P4/mmm
- ΔE_f: -0.306 eV per atom
- Crystal system: tetragonal
- Uncorrected energy: -5.75 eV/atom

=====

Copy entry 1 word for word.
Sr3YMn | GGA-PBE | relaxed

Cell lengths 6.460, 6.460, 6.460 Å; angles 90.00, 90.00, 90.00 degrees
Site moments in Bohr magnetons follow the coordinates.
Element x y z (fractional)
1 Sr 0.000 0.500 0.000  -0.12
2 Sr 0.000 0.000 0.500  -0.14
3 Sr 0.500 0.000 0.000  -0.08
4 Mn 0.500 0.500 0.500  4.49
5 Y 0.000 0.000 0.000  -0.74

Values from the calculation:
- Size of the total moment: 2.16 μB per cell
- DOS(E_F): 11.34 states/eV/f.u.
- Space group: Pm-3m
- ΔE_f: 1.203 eV per atom
- Crystal system: cubic
- Uncorrected energy: -2.93 eV/atom
- Excess energy over the best structure of this formula in the dataset: 0.3692 eV per atom

=====

Which of these has the highest size of the total moment?
MnCdMo2

=====

Among the records above, which one has the highest DOS(E_F)?
Sr3YMn

=====

What is the formula in the first record?
Sr3YMn